Record 1
PBE LaHf2Zn2, optimized geometry; M_tot = 0.00 μB per cell; DOS at the Fermi energy = 9.008 states/eV/cell; energy = -0.202 hartree per atom; DFT formation energy = -0.02 eV/atom
1.0
8.416 0.000 0.000
0.000 8.416 0.000
0.000 0.000 3.019
Zn Hf La
4 4 2
Cartesian
5.626 6.998 1.510
2.790 1.418 1.510
1.418 5.626 1.510
6.998 2.790 1.510
7.347 5.277 0.000
5.277 1.069 0.000
1.069 3.139 0.000
3.139 7.347 0.000
4.208 4.208 0.000
0.000 0.000 0.000

***

Record 2
PBE La3HfZr, optimized geometry; M_tot = 0.00 μB per cell; DOS at the Fermi energy = 11.085 states/eV/cell; energy = -0.211 hartree per atom; DFT formation energy = 0.92 eV/atom
1.0
5.632 0.000 0.000
0.000 5.632 0.000
0.000 0.000 5.632
La Hf Zr
3 1 1
Cartesian
0.000 2.816 0.000
2.816 0.000 0.000
0.000 0.000 2.816
2.816 2.816 2.816
0.000 0.000 0.000

***

Record 3
PBE La2HfZr, optimized geometry; M_tot = 2.53 μB per cell; DOS at the Fermi energy = 15.643 states/eV/cell; energy = -0.235 hartree per atom; DFT formation energy = 0.69 eV/atom
1.0
-1.783 -6.237 -5.667
7.409 1.601 -4.092
4.278 -4.405 -3.044
La Hf Zr
4 2 2
Cartesian
0.880 -4.804 -4.818
5.313 -5.044 -5.940
8.136 -7.360 -10.825
5.478 -0.877 -4.023
0.000 0.000 0.000
2.654 -6.481 -6.795
2.813 -2.318 -4.880
7.250 -2.562 -6.008

***

Record 4
PBE LaHfZr3, optimized geometry; M_tot = 0.00 μB per cell; DOS at the Fermi energy = 4.938 states/eV/cell; energy = -0.252 hartree per atom; DFT formation energy = 1.24 eV/atom
1.0
5.110 0.000 0.000
0.000 5.110 0.000
0.000 0.000 5.110
Zr Hf La
3 1 1
Cartesian
0.000 0.000 2.555
0.000 2.555 0.000
2.555 0.000 0.000
2.555 2.555 2.555
0.000 0.000 0.000

***

Record 5
PBE LaHf2Zr2, optimized geometry; M_tot = 0.00 μB per cell; DOS at the Fermi energy = 17.186 states/eV/cell; energy = -0.301 hartree per atom; DFT formation energy = 0.19 eV/atom
1.0
-5.092 7.260 -0.086
-5.536 -3.815 5.783
1.752 1.259 2.508
La Zr Hf
2 4 4
Cartesian
0.000 0.000 0.000
-5.314 1.722 2.848
-7.913 4.033 3.504
-3.812 4.040 0.635
-2.715 -0.588 2.192
-6.817 -0.595 5.061
-3.739 -0.680 5.135
-1.747 2.335 2.230
-5.138 5.383 3.069
-7.129 2.368 5.974

***

Record 6
PBE La2HfZr, optimized geometry; M_tot = 0.00 μB per cell; DOS at the Fermi energy = 3.812 states/eV/cell; energy = -0.249 hartree per atom; DFT formation energy = 0.32 eV/atom
1.0
0.188 2.925 4.556
-2.788 4.630 0.363
-4.354 0.296 3.210
Zr La Hf
1 2 1
Cartesian
0.000 0.000 0.000
-5.215 5.888 6.096
-1.738 1.963 2.032
-3.477 3.925 4.064